Entry 1:
Nd6Ni2RhCl3: relaxed, PBE.

Cell lengths 9.7390, 9.7390, 8.8591 Å; angles 109.72, 109.72, 24.07 degrees
Closest atoms and distances in Å follow each position.
Element x y z (fractional)
1 Nd 0.0123 0.0123 0.2283  1 Ni 2.80, 2 Rh 2.82
2 Nd 0.3251 0.3251 0.4388  3 Ni 2.78-2.80
3 Nd 0.3422 0.3422 0.8806  2 Ni 2.79, 1 Rh 2.82
4 Nd 0.6578 0.6578 0.1194  2 Ni 2.79, 1 Rh 2.82
5 Nd 0.6749 0.6749 0.5612  3 Ni 2.78-2.80
6 Nd 0.9877 0.9877 0.7717  1 Ni 2.80, 2 Rh 2.82
7 Ni 0.1689 0.1689 0.3428  6 Nd 2.78-2.80
8 Ni 0.8311 0.8311 0.6572  6 Nd 2.78-2.80
9 Rh 0.5000 0.5000 0.0000  6 Nd 2.82
10 Cl 0.1676 0.1676 0.8327  6 Nd 3.19-3.31
11 Cl 0.5000 0.5000 0.5000  6 Nd 3.19-3.22
12 Cl 0.8324 0.8324 0.1673  6 Nd 3.19-3.31

The volume comes out at 322 Å³/cell. The calculated density is 6.2 Mg/m³. The density of states at the Fermi level is 8.87 states/eV per cell. As for the energy: -5.41 eV per atom.

***

Entry 2:
Nd8NiRh3Cl4: relaxed, PBE.

Cell lengths 8.1642, 8.1642, 8.9124 Å; angles 117.31, 117.31, 60.01 degrees
Closest atoms and distances in Å follow each position.
Element x y z (fractional)
1 Nd 0.2326 0.2326 0.7028  1 Ni 2.79, 2 Rh 2.82
2 Nd 0.2325 0.7383 0.7028  1 Ni 2.79, 2 Rh 2.82
3 Nd 0.2617 0.7675 0.2972  1 Ni 2.79, 2 Rh 2.82
4 Nd 0.2641 0.2641 0.2928  3 Rh 2.83
5 Nd 0.7359 0.7359 0.7072  3 Rh 2.83
6 Nd 0.7383 0.2325 0.7028  1 Ni 2.79, 2 Rh 2.82
7 Nd 0.7675 0.2617 0.2972  1 Ni 2.79, 2 Rh 2.82
8 Nd 0.7674 0.7674 0.2972  1 Ni 2.79, 2 Rh 2.82
9 Ni 0.0000 0.0000 0.5000  6 Nd 2.79
10 Rh 0.0000 0.5000 0.5000  6 Nd 2.82-2.83
11 Rh 0.5000 0.0000 0.5000  6 Nd 2.82-2.83
12 Rh 0.5000 0.5000 0.5000  6 Nd 2.82-2.83
13 Cl 0.0000 0.0000 0.0000  6 Nd 3.23-3.25
14 Cl 0.0000 0.5000 0.0000  6 Nd 3.23-3.25
15 Cl 0.5000 0.0000 0.0000  6 Nd 3.23-3.25
16 Cl 0.5000 0.5000 0.0000  6 Nd 3.27-3.28

The volume comes out at 436 Å³/cell. The calculated density is 6.3 Mg/m³. The density of states at the Fermi level is 6.20 states/eV per cell. As for the energy: -5.69 eV per atom.

***

Entry 3:
Nd8Ni3RhCl4: relaxed, PBE.

Cell lengths 8.8353, 8.8353, 8.8353 Å; angles 54.72, 54.72, 54.72 degrees
Closest atoms and distances in Å follow each position.
Element x y z (fractional)
1 Nd 0.2309 0.7364 0.7364  2 Ni 2.79, 1 Rh 2.82
2 Nd 0.2336 0.2336 0.2336  3 Ni 2.79
3 Nd 0.2636 0.2636 0.7691  2 Ni 2.79, 1 Rh 2.82
4 Nd 0.2636 0.7691 0.2636  2 Ni 2.79, 1 Rh 2.82
5 Nd 0.7364 0.2309 0.7364  2 Ni 2.79, 1 Rh 2.82
6 Nd 0.7364 0.7364 0.2309  2 Ni 2.79, 1 Rh 2.82
7 Nd 0.7664 0.7664 0.7664  3 Ni 2.79
8 Nd 0.7691 0.2636 0.2636  2 Ni 2.79, 1 Rh 2.82
9 Ni 0.0000 0.0000 0.5000  6 Nd 2.79
10 Ni 0.0000 0.5000 0.0000  6 Nd 2.79
11 Ni 0.5000 0.0000 0.0000  6 Nd 2.79
12 Rh 0.5000 0.5000 0.5000  6 Nd 2.82
13 Cl 0.0000 0.0000 0.0000  6 Nd 3.21
14 Cl 0.0000 0.5000 0.5000  6 Nd 3.24
15 Cl 0.5000 0.0000 0.5000  6 Nd 3.24
16 Cl 0.5000 0.5000 0.0000  6 Nd 3.24

The volume comes out at 428 Å³/cell. The calculated density is 6.1 Mg/m³. The density of states at the Fermi level is 11.14 states/eV per cell. As for the energy: -5.36 eV per atom.

***

Entry 4:
Nd4NiRhCl2: relaxed, PBE.

Cell lengths 7.0703, 4.0683, 7.8922 Å; angles 90.00, 107.51, 90.00 degrees
Closest atoms and distances in Å follow each position.
Element x y z (fractional)
1 Nd 0.2316 0.0000 0.2014  2 Ni 2.79, 1 Rh 2.82
2 Nd 0.2595 0.5000 0.7963  1 Ni 2.78, 2 Rh 2.82
3 Nd 0.7405 0.5000 0.2037  1 Ni 2.78, 2 Rh 2.82
4 Nd 0.7684 0.0000 0.7986  2 Ni 2.79, 1 Rh 2.82
5 Ni 0.0000 0.5000 0.0000  6 Nd 2.78-2.79
6 Rh 0.5000 0.0000 0.0000  6 Nd 2.82
7 Cl 0.0000 0.0000 0.5000  6 Nd 3.22-3.25
8 Cl 0.5000 0.5000 0.5000  6 Nd 3.26-3.28

The volume comes out at 216 Å³/cell. The calculated density is 6.2 Mg/m³. The density of states at the Fermi level is 4.37 states/eV per cell. As for the energy: -5.53 eV per atom.

***

Entry 5:
Nd4NiS2Cl: relaxed, PBE.

Cell lengths 7.1785, 3.9628, 7.1801 Å; angles 90.00, 108.65, 90.00 degrees
Closest atoms and distances in Å follow each position.
Element x y z (fractional)
1 Nd 0.2345 0.0000 0.2425  2 Ni 2.81, 3 S 2.87-2.95, 1 Cl 2.96
2 Nd 0.2354 0.5000 0.7356  3 S 2.80-2.92, 1 Ni 2.92, 2 Cl 2.97
3 Nd 0.7646 0.5000 0.2644  3 S 2.80-2.92, 1 Ni 2.92, 2 Cl 2.97
4 Nd 0.7655 0.0000 0.7575  2 Ni 2.81, 3 S 2.87-2.95, 1 Cl 2.96
5 Ni 0.0000 0.5000 0.0000  6 Nd 2.81-2.92
6 S 0.0000 0.0000 0.5000  6 Nd 2.80-2.87
7 S 0.5000 0.5000 0.5000  6 Nd 2.92-2.95
8 Cl 0.5000 0.0000 0.0000  6 Nd 2.96-2.97

The volume comes out at 194 Å³/cell. The calculated density is 6.3 Mg/m³. The density of states at the Fermi level is 4.97 states/eV per cell. As for the energy: -5.81 eV per atom.

***

Entry 6:
Nd4NiSCl2: relaxed, PBE.

Cell lengths 7.2259, 3.9633, 7.4198 Å; angles 90.00, 108.05, 90.00 degrees
Closest atoms and distances in Å follow each position.
Element x y z (fractional)
1 Nd 0.2225 0.0000 0.2134  2 Ni 2.73, 1 S 2.91, 1 Cl 3.04
2 Nd 0.2609 0.5000 0.7806  2 S 2.80, 1 Ni 2.85, 3 Cl 3.06-3.09
3 Nd 0.7391 0.5000 0.2194  2 S 2.80, 1 Ni 2.85, 3 Cl 3.06-3.09
4 Nd 0.7775 0.0000 0.7866  2 Ni 2.73, 1 S 2.91, 1 Cl 3.04
5 Ni 0.0000 0.5000 0.0000  6 Nd 2.73-2.85
6 S 0.5000 0.0000 0.0000  6 Nd 2.80-2.91
7 Cl 0.0000 0.0000 0.5000  6 Nd 3.04-3.06
8 Cl 0.5000 0.5000 0.5000  6 Nd 3.09-3.13

The volume comes out at 202 Å³/cell. The calculated density is 6.1 Mg/m³. The density of states at the Fermi level is 2.96 states/eV per cell. As for the energy: -5.41 eV per atom.

***

- Look up the volume of the first one.
  322 Å³/cell

***

- Which formula does entry 1 have?
  Nd6Ni2RhCl3